No. 1
Compound: Hg4GeIBr2
Source: the Alexandria database
Functional: PBE-GGA
Structure: relaxed

The value obtained for the size of the total moment is 0.000 μB/atom. As for the space group: Pmn2_1. The calculation puts the formation energy from raw total energies at -0.1540 eV per atom. As for the density of states at the Fermi level: 4.56 states/eV/cell.

Cell: 7.7035 8.0208 10.1739 Å, 90.00 90.00 90.00°
Positions (direct):
Hg 0.3182 0.1897 0.0000
Hg 0.8182 0.8103 0.5000
Hg 0.4043 0.1464 0.5000
Hg 0.9043 0.8536 0.0000
Hg 0.4088 0.6845 0.7229
Hg 0.9088 0.3155 0.2229
Hg 0.9088 0.3155 0.7771
Hg 0.4088 0.6845 0.2771
Ge 0.4808 0.8282 0.5000
Ge 0.9808 0.1718 0.0000
I 0.9818 0.2150 0.5000
I 0.4818 0.7850 0.0000
Br 0.4986 0.3235 0.2404
Br 0.4986 0.3235 0.7596
Br 0.9986 0.6765 0.7404
Br 0.9986 0.6765 0.2596

---

No. 2
Compound: InHgGeBr6
Source: the Alexandria database
Functional: PBE-GGA
Structure: relaxed

The value obtained for the size of the total moment is 0.000 μB/atom. As for the space group: C2. The calculation puts the formation energy from raw total energies at -0.5406 eV per atom. As for the density of states at the Fermi level: 4.86 states/eV/cell.

Cell: 7.1119 7.1116 6.8677 Å, 90.05 89.96 60.02°
Positions (direct):
In 0.3334 0.3334 0.5000
Hg 0.9999 0.0000 0.0000
Ge 0.6665 0.6666 0.5000
Br 0.0101 0.3525 0.2698
Br 0.3525 0.0101 0.7302
Br 0.6370 0.3533 0.7303
Br 0.0096 0.6376 0.7303
Br 0.3532 0.6371 0.2697
Br 0.6375 0.0096 0.2696

---

No. 3
Compound: KHgGe2Br
Source: the Alexandria database
Functional: PBE-GGA
Structure: relaxed

The value obtained for the size of the total moment is 0.000 μB/atom. As for the space group: P4/mmm. The calculation puts the formation energy from raw total energies at 0.3772 eV per atom. As for the density of states at the Fermi level: 3.95 states/eV/cell.

Cell: 5.3348 6.5417 5.3348 Å, 90.00 90.00 90.00°
Positions (direct):
K 0.5000 0.5000 0.5000
Ge 0.0000 0.0000 0.5000
Ge 0.5000 0.0000 0.0000
Hg 0.0000 0.5000 0.0000
Br 0.0000 0.0000 0.0000